First-principles (PBE-GGA) data for a geometry-optimized TlTc2As structure, as listed in Alexandria.

Output
Its formation energy is 426 meV per atom. The calculation puts the volume at 17.29 Å³/atom. As for the density of states at the Fermi level: 2.53 states/eV/cell. As for the total magnetic moment: 0.000 μB per atom.

```
TlTc2As
1.0
-0.5961 3.7055 -0.8231
0.1288 -0.6464 -3.0032
-5.7066 -1.3048 -1.7414
As Tl Tc
1 1 2
Direct
0.5000 0.7500 0.7500
0.5000 0.2500 0.2500
0.0000 0.8953 0.9598
0.0000 0.6047 0.5402
```



First-principles (PBE-GGA) data for a geometry-optimized HfSc3Rh structure, as listed in Alexandria.

Output
Its formation energy is 1069 meV per atom. The calculation puts the volume at 24.84 Å³/atom. As for the density of states at the Fermi level: 5.28 states/eV/cell. As for the total magnetic moment: 0.000 μB per atom.

```
HfSc3Rh
1.0
-1.8493 0.8397 4.5575
-4.6305 -0.1375 -1.8536
-0.1863 -4.9165 0.8302
Sc Rh Hf
3 1 1
Direct
0.0000 0.5000 0.0000
0.0000 0.0000 0.5000
0.5000 0.0000 0.0000
0.5000 0.5000 0.5000
0.0000 0.0000 0.0000
```



First-principles (PBE-GGA) data for a geometry-optimized AgAs2Pt structure, as listed in Alexandria.

Output
Its formation energy is 67 meV per atom. The calculation puts the volume at 17.53 Å³/atom. As for the density of states at the Fermi level: 1.27 states/eV/cell. As for the total magnetic moment: 0.000 μB per atom.

```
AgAs2Pt
1.0
0.0000 3.2731 3.2731
3.2731 0.0000 3.2731
3.2731 3.2731 0.0000
As Ag Pt
2 1 1
Direct
0.2500 0.2500 0.2500
0.7500 0.7500 0.7500
0.0000 0.0000 0.0000
0.5000 0.5000 0.5000
```



First-principles (PBE-GGA) data for a geometry-optimized RhPb2Cl structure, as listed in Alexandria.

Output
The energy relative to the elements, uncorrected comes out at 0.064 eV/atom. The calculation puts the volume at 25.11 Å³/atom. As for the density of states at the Fermi level: 1.79 states/eV/cell. As for the total magnetic moment: 0.000 μB per atom.

```
RhPb2Cl
1.0
6.8559 -0.0145 0.0000
4.5200 5.1549 0.0000
-5.6880 -2.5702 2.8363
Cl Pb Rh
1 2 1
Direct
0.7500 0.2500 0.5000
0.0000 0.0000 0.0000
0.2500 0.7500 0.5000
0.5000 0.5000 0.0000
```



First-principles (PBE-GGA) data for a geometry-optimized LiCaF2 structure, as listed in Alexandria.

Output
The energy relative to the elements, uncorrected comes out at -2.550 eV/atom. The calculation puts the volume at 17.05 Å³/atom. As for the density of states at the Fermi level: 0.99 states/eV/cell. As for the total magnetic moment: 0.000 μB per atom.

```
LiCaF2
1.0
2.0329 0.0000 6.3524
-1.0164 1.7605 6.3524
-1.0164 -1.7605 6.3524
Ca Li F
1 1 2
Direct
0.0000 0.0000 0.0000
0.5000 0.5000 0.5000
0.8877 0.8877 0.8877
0.1123 0.1123 0.1123
```



First-principles (PBE-GGA) data for a geometry-optimized CsPdCl structure, as listed in Alexandria.

Output
The energy relative to the elements, uncorrected comes out at -0.823 eV/atom. The calculation puts the volume at 35.25 Å³/atom. As for the density of states at the Fermi level: 0.00 states/eV/cell. As for the total magnetic moment: 0.000 μB per atom.

```
CsPdCl
1.0
-1.3851 -3.3840 -3.6885
7.1537 -4.4801 -2.2333
-0.5126 -3.5033 3.4079
Cs Pd Cl
2 2 2
Direct
0.0680 0.4896 0.3388
0.3362 0.9534 0.3007
0.7649 0.0960 0.8017
0.6946 0.2372 0.2900
0.9062 0.8136 0.7907
0.6273 0.3713 0.8175
```



First-principles (PBE-GGA) data for a geometry-optimized Pu2InAu structure, as listed in Alexandria.

Output
Its formation energy is -278 meV per atom. The calculation puts the volume at 23.36 Å³/atom. As for the density of states at the Fermi level: 11.10 states/eV/cell. As for the total magnetic moment: 2.832 μB per atom.

```
Pu2InAu
1.0
4.8358 0.0000 0.0000
0.0000 4.3957 0.0000
0.0000 0.0000 4.3957
In Au Pu
1 1 2
Direct
0.5000 0.5000 0.5000
0.5000 0.0000 0.0000
0.0000 0.0000 0.5000
0.0000 0.5000 0.0000
```



First-principles (PBE-GGA) data for a geometry-optimized SrMn3Cr structure, as listed in Alexandria.

Output
Its formation energy is 707 meV per atom. The calculation puts the volume at 20.19 Å³/atom. As for the density of states at the Fermi level: 4.26 states/eV/cell. As for the total magnetic moment: 1.547 μB per atom.

```
SrMn3Cr
1.0
-2.0279 -4.0480 1.0859
0.2380 -1.3157 -4.4599
4.1844 -1.8870 0.7800
Sr Mn Cr
1 3 1
Direct
0.5000 0.5000 0.5000
0.0000 0.5000 0.0000
0.0000 0.0000 0.5000
0.5000 0.0000 0.0000
0.0000 0.0000 0.0000
```



First-principles (PBE-GGA) data for a geometry-optimized Ac5In2Pb2 structure, as listed in Alexandria.

Output
Its formation energy is -469 meV per atom. The calculation puts the volume at 38.41 Å³/atom. As for the density of states at the Fermi level: 17.94 states/eV/cell. As for the total magnetic moment: 0.000 μB per atom.

```
Ac5In2Pb2
1.0
-4.8454 7.4113 -0.6168
-6.1332 -3.5615 5.3863
7.2401 5.0868 4.2450
Ac In Pb
10 4 4
Direct
0.0000 0.0000 0.0000
0.5000 0.5000 0.0000
0.8294 0.8163 0.2814
0.1706 0.4652 0.2814
0.3294 0.9652 0.2814
0.6706 0.3163 0.2814
0.1706 0.1837 0.7186
0.8294 0.5348 0.7186
0.6706 0.0348 0.7186
0.3294 0.6837 0.7186
0.6197 0.8808 0.0000
0.3803 0.1192 0.0000
0.1197 0.6192 0.0000
0.8803 0.3808 0.0000
0.0000 0.2055 0.4110
0.5000 0.7055 0.4110
0.0000 0.7945 0.5890
0.5000 0.2945 0.5890
```



Q: What is the formula in the third record?
A: AgAs2Pt



Repeat the ninth record exactly.
First-principles (PBE-GGA) data for a geometry-optimized Ac5In2Pb2 structure, as listed in Alexandria.

Output
Its formation energy is -469 meV per atom. The calculation puts the volume at 38.41 Å³/atom. As for the density of states at the Fermi level: 17.94 states/eV/cell. As for the total magnetic moment: 0.000 μB per atom.

```
Ac5In2Pb2
1.0
-4.8454 7.4113 -0.6168
-6.1332 -3.5615 5.3863
7.2401 5.0868 4.2450
Ac In Pb
10 4 4
Direct
0.0000 0.0000 0.0000
0.5000 0.5000 0.0000
0.8294 0.8163 0.2814
0.1706 0.4652 0.2814
0.3294 0.9652 0.2814
0.6706 0.3163 0.2814
0.1706 0.1837 0.7186
0.8294 0.5348 0.7186
0.6706 0.0348 0.7186
0.3294 0.6837 0.7186
0.6197 0.8808 0.0000
0.3803 0.1192 0.0000
0.1197 0.6192 0.0000
0.8803 0.3808 0.0000
0.0000 0.2055 0.4110
0.5000 0.7055 0.4110
0.0000 0.7945 0.5890
0.5000 0.2945 0.5890
```



Q: What is the total magnetic moment in the sixth record?
A: 0.000 μB per atom



Q: Which value of total magnetic moment does entry 7 give?
A: 2.832 μB per atom